[1]
TmCd2Pb3 PBE-GGA optimized geometry; density = 10.3 Mg/m³; energy of formation from the pure elements = -0.110 eV per atom; total energy = -3.0146 eV/atom
1.0
2.590 -8.027 0.000
2.590 8.027 0.000
0.000 0.000 3.930
Tm Cd Pb
1 2 3
Direct
0.000 0.000 0.000
0.343 0.657 0.000
0.657 0.343 0.000
0.175 0.825 0.500
0.500 0.500 0.500
0.825 0.175 0.500



[2]
Na4Ce3BeSe8 PBE-GGA optimized geometry; density = 4.6 Mg/m³; total energy = -4.7614 eV/atom
1.0
7.317 -4.125 0.000
7.317 4.125 0.000
-4.801 0.000 6.953
Na Ce Be Se
4 3 1 8
Direct
0.000 0.000 0.000
0.000 0.500 0.000
0.500 0.000 0.000
0.500 0.500 0.000
0.000 0.000 0.500
0.000 0.500 0.500
0.500 0.000 0.500
0.500 0.500 0.500
0.241 0.241 0.251
0.244 0.244 0.739
0.277 0.709 0.704
0.291 0.723 0.296
0.709 0.277 0.704
0.723 0.291 0.296
0.756 0.756 0.261
0.759 0.759 0.749



[3]
TmMg7Hg4 PBE-GGA optimized geometry; density = 6.6 Mg/m³; energy of formation from the pure elements = -0.005 eV per atom; total energy = -1.4085 eV/atom
1.0
6.372 -2.720 0.000
6.372 2.720 0.000
-6.004 0.000 8.328
Tm Mg Hg
1 7 4
Direct
0.000 0.000 0.000
0.065 0.065 0.365
0.219 0.219 0.889
0.334 0.334 0.406
0.500 0.500 0.000
0.666 0.666 0.594
0.781 0.781 0.111
0.935 0.935 0.635
0.291 0.291 0.673
0.428 0.428 0.223
0.572 0.572 0.777
0.709 0.709 0.327



Question: Which value of density does entry 1 give?
Answer: 10.3 Mg/m³



Please write out number 3 again, unchanged.
TmMg7Hg4 PBE-GGA optimized geometry; density = 6.6 Mg/m³; energy of formation from the pure elements = -0.005 eV per atom; total energy = -1.4085 eV/atom
1.0
6.372 -2.720 0.000
6.372 2.720 0.000
-6.004 0.000 8.328
Tm Mg Hg
1 7 4
Direct
0.000 0.000 0.000
0.065 0.065 0.365
0.219 0.219 0.889
0.334 0.334 0.406
0.500 0.500 0.000
0.666 0.666 0.594
0.781 0.781 0.111
0.935 0.935 0.635
0.291 0.291 0.673
0.428 0.428 0.223
0.572 0.572 0.777
0.709 0.709 0.327